(1)
Material: LiAsClF6
Method: DFT, PBE
State: optimized geometry

Output
**Fermi-level density of states**: 1.490 states/eV/f.u.
**Crystal system**: trigonal
**Formation energy without anion corrections**: -1.93 eV per atom
**SG**: No. 149

Cell: 5.208 5.208 6.969 Å, 90.02 89.97 59.95°
Each line ends with the local moment (μB).
Sites, in units of the cell vectors:
Li (0.667, 0.667, 0.500)  0.00
As (0.333, 0.333, 0.500)  0.00
Cl (0.000, 0.000, 0.000)  0.71
F (0.045, 0.349, 0.356)  0.01
F (0.349, 0.045, 0.644)  0.01
F (0.607, 0.349, 0.644)  0.01
F (0.044, 0.607, 0.644)  0.01
F (0.349, 0.607, 0.356)  0.01
F (0.607, 0.044, 0.356)  0.01

=====

(2)
Material: Na3AsCl2F6
Method: DFT, PBE
State: optimized geometry

Output
**Fermi-level density of states**: 0.000 states/eV/f.u.
**Crystal system**: monoclinic
**Formation energy without anion corrections**: -2.12 eV per atom
**SG**: No. 12

Cell: 4.538 6.888 7.631 Å, 116.83 90.18 90.00°
Sites, in units of the cell vectors:
Na (0.000, 0.500, 0.000)
Na (0.500, 0.500, 0.500)
Na (0.500, 0.000, 0.500)
As (0.500, 0.000, 0.000)
Cl (0.083, 0.691, 0.383)
Cl (0.917, 0.309, 0.617)
F (0.734, 0.232, 0.093)
F (0.266, 0.768, 0.907)
F (0.683, 0.885, 0.769)
F (0.317, 0.115, 0.231)
F (0.266, 0.139, 0.907)
F (0.734, 0.861, 0.093)

=====

(3)
Material: AsPCl3OF5
Method: DFT, PBE
State: optimized geometry

Output
**Fermi-level density of states**: 0.000 states/eV/f.u.
**Crystal system**: monoclinic
**Formation energy without anion corrections**: -1.65 eV per atom
**SG**: No. 14

Cell: 19.265 6.230 7.892 Å, 72.53 90.00 90.00°
Sites, in units of the cell vectors:
As (0.373, 0.539, 0.308)
As (0.873, 0.461, 0.192)
As (0.627, 0.461, 0.692)
As (0.127, 0.539, 0.808)
Cl (0.371, 0.296, 0.849)
Cl (0.871, 0.704, 0.651)
Cl (0.629, 0.704, 0.151)
Cl (0.129, 0.296, 0.349)
Cl (0.457, 0.902, 0.768)
Cl (0.957, 0.098, 0.732)
Cl (0.543, 0.098, 0.232)
Cl (0.043, 0.902, 0.268)
Cl (0.299, 0.976, 0.657)
Cl (0.799, 0.024, 0.843)
Cl (0.701, 0.024, 0.343)
Cl (0.201, 0.976, 0.157)
F (0.298, 0.527, 0.442)
F (0.798, 0.473, 0.058)
F (0.702, 0.473, 0.558)
F (0.202, 0.527, 0.942)
F (0.413, 0.715, 0.415)
F (0.913, 0.285, 0.085)
F (0.587, 0.285, 0.585)
F (0.087, 0.715, 0.915)
F (0.335, 0.340, 0.219)
F (0.835, 0.660, 0.281)
F (0.665, 0.660, 0.781)
F (0.165, 0.340, 0.719)
F (0.450, 0.528, 0.192)
F (0.950, 0.472, 0.308)
F (0.550, 0.472, 0.808)
F (0.050, 0.528, 0.692)
F (0.340, 0.767, 0.137)
F (0.840, 0.233, 0.363)
F (0.660, 0.233, 0.863)
F (0.160, 0.767, 0.637)
O (0.412, 0.283, 0.496)
O (0.912, 0.717, 0.004)
O (0.588, 0.717, 0.504)
O (0.088, 0.283, 0.996)
P (0.386, 0.132, 0.673)
P (0.886, 0.868, 0.827)
P (0.614, 0.868, 0.327)
P (0.114, 0.132, 0.173)

=====

(4)
Material: AsSClOF8
Method: DFT, PBE
State: optimized geometry

Output
**Fermi-level density of states**: 0.000 states/eV/f.u.
**Crystal system**: monoclinic
**Formation energy without anion corrections**: -1.68 eV per atom
**SG**: No. 4

Cell: 8.451 9.239 10.008 Å, 90.00 95.42 90.00°
Sites, in units of the cell vectors:
As (0.006, 0.321, 0.818)
As (0.505, 0.188, 0.316)
As (0.495, 0.688, 0.684)
As (0.994, 0.821, 0.182)
S (0.998, 0.820, 0.623)
S (0.515, 0.644, 0.137)
S (0.485, 0.144, 0.863)
S (0.002, 0.320, 0.377)
Cl (0.962, 0.796, 0.807)
Cl (0.467, 0.704, 0.311)
Cl (0.533, 0.204, 0.689)
Cl (0.038, 0.296, 0.193)
O (0.031, 0.698, 0.548)
O (0.969, 0.198, 0.452)
O (0.638, 0.545, 0.124)
O (0.362, 0.045, 0.876)
F (0.837, 0.355, 0.905)
F (0.333, 0.152, 0.398)
F (0.667, 0.652, 0.602)
F (0.163, 0.855, 0.095)
F (0.100, 0.234, 0.965)
F (0.588, 0.284, 0.463)
F (0.412, 0.784, 0.537)
F (0.900, 0.734, 0.035)
F (0.923, 0.151, 0.764)
F (0.416, 0.353, 0.254)
F (0.584, 0.853, 0.746)
F (0.077, 0.651, 0.236)
F (0.093, 0.486, 0.876)
F (0.595, 0.028, 0.383)
F (0.405, 0.528, 0.617)
F (0.907, 0.986, 0.124)
F (0.178, 0.280, 0.734)
F (0.679, 0.232, 0.237)
F (0.321, 0.732, 0.763)
F (0.822, 0.780, 0.266)
F (0.917, 0.405, 0.672)
F (0.426, 0.096, 0.171)
F (0.574, 0.596, 0.829)
F (0.083, 0.905, 0.328)
F (0.534, 0.787, 0.060)
F (0.466, 0.287, 0.940)
F (0.855, 0.907, 0.560)
F (0.356, 0.595, 0.063)
F (0.644, 0.095, 0.937)
F (0.145, 0.407, 0.440)
F (0.123, 0.940, 0.620)
F (0.877, 0.440, 0.380)

=====

(5)
Material: AsP2ClF
Method: DFT, PBE
State: optimized geometry

Output
**Fermi-level density of states**: 4.497 states/eV/f.u.
**Crystal system**: tetragonal
**Excess energy over the best structure of this formula in the dataset**: 0.0233 eV/atom
**Formation energy without anion corrections**: 0.65 eV per atom
**SG**: No. 123

Cell: 4.122 4.122 5.416 Å, 90.00 90.00 90.00°
Sites, in units of the cell vectors:
P (0.000, 0.500, 0.000)
P (0.500, 0.000, 0.000)
As (0.500, 0.500, 0.500)
F (0.000, 0.000, 0.000)
Cl (0.000, 0.000, 0.500)

=====

(6)
Material: AsP2ClF
Method: DFT, PBE
State: optimized geometry

Output
**Fermi-level density of states**: 4.172 states/eV/f.u.
**Crystal system**: tetragonal
**Excess energy over the best structure of this formula in the dataset**: 0.0000 eV/atom
**Formation energy without anion corrections**: 0.62 eV per atom
**SG**: No. 123

Cell: 4.830 4.830 4.878 Å, 90.00 90.00 90.00°
Each line ends with the local moment (μB).
Sites, in units of the cell vectors:
P (0.000, 0.500, 0.000)  0.38
P (0.500, 0.000, 0.000)  0.38
As (0.000, 0.000, 0.000)  -0.02
F (0.500, 0.500, 0.500)  0.15
Cl (0.000, 0.000, 0.500)  0.11

=====

(7)
Material: AsPb2ClF
Method: DFT, PBE
State: optimized geometry

Output
**Fermi-level density of states**: 1.993 states/eV/f.u.
**Crystal system**: tetragonal
**Formation energy without anion corrections**: -0.17 eV per atom
**SG**: No. 123

Cell: 5.544 4.371 5.544 Å, 90.00 90.00 90.00°
Sites, in units of the cell vectors:
Pb (0.000, 0.000, 0.500)
Pb (0.500, 0.000, 0.000)
As (0.500, 0.500, 0.500)
F (0.000, 0.500, 0.000)
Cl (0.000, 0.000, 0.000)

=====

(8)
Material: AsPd2ClF
Method: DFT, PBE
State: optimized geometry

Output
**Fermi-level density of states**: 5.322 states/eV/f.u.
**Crystal system**: tetragonal
**Formation energy without anion corrections**: 0.34 eV per atom
**SG**: No. 123

Cell: 4.779 4.083 4.779 Å, 90.00 90.00 90.00°
Sites, in units of the cell vectors:
As (0.000, 0.500, 0.000)
F (0.000, 0.000, 0.000)
Pd (0.000, 0.000, 0.500)
Pd (0.500, 0.000, 0.000)
Cl (0.500, 0.500, 0.500)

=====

(9)
Material: Rb2AsClF6
Method: DFT, PBE
State: optimized geometry

Output
**Fermi-level density of states**: 0.000 states/eV/f.u.
**Crystal system**: triclinic
**Excess energy over the best structure of this formula in the dataset**: 0.0000 eV/atom
**Formation energy without anion corrections**: -2.30 eV per atom
**SG**: No. 2

Cell: 8.061 8.012 8.047 Å, 42.56 38.94 42.87°
Each line ends with the local moment (μB).
Sites, in units of the cell vectors:
Rb (0.530, 0.578, 0.263)  0.00
Rb (0.102, 0.054, 0.840)  0.00
As (0.316, 0.316, 0.052)  0.00
Cl (0.816, 0.816, 0.551)  0.05
F (0.424, 0.331, 0.167)  0.00
F (0.186, 0.068, 0.391)  0.00
F (0.980, 0.566, 0.174)  0.00
F (0.446, 0.565, 0.712)  0.00
F (0.652, 0.067, 0.929)  0.00
F (0.208, 0.302, 0.936)  0.00

=====

(10)
Material: Rb2AsCl5F
Method: DFT, PBE
State: optimized geometry

Output
**Fermi-level density of states**: 4.326 states/eV/f.u.
**Crystal system**: tetragonal
**Formation energy without anion corrections**: -1.42 eV per atom
**SG**: No. 107

Cell: 7.156 7.156 7.156 Å, 90.00 120.00 120.00°
Sites, in units of the cell vectors:
Rb (0.500, 0.245, 0.745)
Rb (0.500, 0.745, 0.245)
As (0.000, 0.994, 0.994)
Cl (0.475, 0.229, 0.229)
Cl (0.525, 0.754, 0.754)
Cl (0.000, 0.754, 0.229)
Cl (0.000, 0.229, 0.754)
Cl (0.000, 0.238, 0.238)
F (0.000, 0.810, 0.810)

=====

(11)
Material: Rb2AsClF6
Method: DFT, PBE
State: optimized geometry

Output
**Fermi-level density of states**: 0.000 states/eV/f.u.
**Crystal system**: cubic
**Excess energy over the best structure of this formula in the dataset**: 0.0956 eV/atom
**Formation energy without anion corrections**: -2.21 eV per atom
**SG**: No. 225

Cell: 6.734 6.734 6.734 Å, 60.00 60.00 90.00°
Sites, in units of the cell vectors:
As (0.000, 0.000, 0.000)
F (0.188, 0.188, 0.624)
F (0.812, 0.812, 0.376)
F (0.188, 0.188, 0.000)
F (0.812, 0.812, 0.000)
F (0.812, 0.188, 0.000)
F (0.188, 0.812, 0.000)
Rb (0.750, 0.250, 0.500)
Rb (0.250, 0.750, 0.500)
Cl (0.500, 0.500, 0.000)

=====

(12)
Material: ReAsCl2F
Method: DFT, PBE
State: optimized geometry

Output
**Fermi-level density of states**: 4.120 states/eV/f.u.
**Crystal system**: tetragonal
**Formation energy without anion corrections**: 0.82 eV per atom
**SG**: No. 123

Cell: 5.040 3.792 5.040 Å, 90.00 90.00 90.00°
Sites, in units of the cell vectors:
Re (0.000, 0.500, 0.000)
As (0.500, 0.500, 0.500)
F (0.000, 0.000, 0.000)
Cl (0.000, 0.000, 0.500)
Cl (0.500, 0.000, 0.000)